No. 1
The following is a PBE calculation of a relaxed TbAlCo4 crystal, from Alexandria.

Cell lengths 4.9012, 4.9012, 4.9012 Å; angles 60.00, 60.00, 60.00 degrees
Site moments in Bohr magnetons follow the coordinates.
Fractional coordinates of all 6 atoms:
1 Co 0.1287 0.6238 0.6238  1.20
2 Co 0.6238 0.6238 0.1287  1.20
3 Co 0.6238 0.1287 0.6238  1.20
4 Co 0.6238 0.6238 0.6238  1.20
5 Tb 0.0000 0.0000 0.0000  -0.29
6 Al 0.2500 0.2500 0.2500  -0.02

* energy relative to the lowest polymorph listed for this composition: 35 meV/atom
* space group: No. 216
* ΔH_f (0 K): -0.213 eV/atom
* raw total energy: -38.077 eV per cell

---

No. 2
The following is a PBE calculation of a relaxed Tb2Al9Co3 crystal, from Alexandria.

Cell lengths 7.4255, 7.4255, 10.2828 Å; angles 89.92, 110.96, 120.44 degrees
Fractional coordinates of all 28 atoms:
1 Co 0.8282 0.6580 0.9987
2 Co 0.1593 0.8295 0.5013
3 Co 0.8407 0.1705 0.4987
4 Co 0.5000 0.5000 0.5000
5 Co 0.5000 0.0000 0.0000
6 Co 0.1718 0.3420 0.0013
7 Al 0.8780 0.8569 0.5677
8 Al 0.1146 0.8646 0.2500
9 Al 0.4673 0.8158 0.4542
10 Al 0.1220 0.1431 0.4323
11 Al 0.5497 0.3590 0.0705
12 Al 0.3286 0.2924 0.2476
13 Al 0.8854 0.1354 0.7500
14 Al 0.7892 0.3103 0.9323
15 Al 0.2115 0.5207 0.5705
16 Al 0.8616 0.0131 0.0458
17 Al 0.5448 0.0810 0.2524
18 Al 0.4552 0.9190 0.7476
19 Al 0.6714 0.7076 0.7524
20 Al 0.5327 0.1842 0.5458
21 Al 0.1384 0.9869 0.9542
22 Al 0.7885 0.4793 0.4295
23 Al 0.4503 0.6410 0.9295
24 Al 0.2108 0.6897 0.0677
25 Tb 0.6630 0.7529 0.2498
26 Tb 0.0031 0.4132 0.2502
27 Tb 0.3370 0.2471 0.7502
28 Tb 0.9969 0.5868 0.7498

* space group: No. 15
* ΔH_f (0 K): -0.560 eV/atom
* raw total energy: -144.200 eV per cell

---

- The highest ΔH_f (0 K) belongs to which entry?
  TbAlCo4

---

- What is the raw total energy in the second record?
  -144.200 eV per cell

---

What did the first record say?
The following is a PBE calculation of a relaxed TbAlCo4 crystal, from Alexandria.

Cell lengths 4.9012, 4.9012, 4.9012 Å; angles 60.00, 60.00, 60.00 degrees
Site moments in Bohr magnetons follow the coordinates.
Fractional coordinates of all 6 atoms:
1 Co 0.1287 0.6238 0.6238  1.20
2 Co 0.6238 0.6238 0.1287  1.20
3 Co 0.6238 0.1287 0.6238  1.20
4 Co 0.6238 0.6238 0.6238  1.20
5 Tb 0.0000 0.0000 0.0000  -0.29
6 Al 0.2500 0.2500 0.2500  -0.02

* energy relative to the lowest polymorph listed for this composition: 35 meV/atom
* space group: No. 216
* ΔH_f (0 K): -0.213 eV/atom
* raw total energy: -38.077 eV per cell